A relaxed structure of Pm3Al8Pd3. Source: Alexandria, functional GGA-PBE. Values from VASP.

```
&SYSTEM
  ibrav = 0, nat = 14, ntyp = 3
/
ATOMIC_SPECIES
Pm 145.00 Pm.upf
Al 26.98 Al.upf
Pd 106.42 Pd.upf
CELL_PARAMETERS angstrom
-2.193 4.997 6.242
2.193 -4.997 6.242
2.193 4.997 -6.242
ATOMIC_POSITIONS crystal
Pm 0.000 0.000 0.000
Pm 0.312 0.312 0.000
Pm 0.688 0.688 0.000
Al 0.029 0.664 0.364
Al 0.162 0.879 0.283
Al 0.300 0.664 0.636
Al 0.404 0.121 0.283
Al 0.596 0.879 0.717
Al 0.700 0.336 0.364
Al 0.838 0.121 0.717
Al 0.971 0.336 0.636
Pd 0.286 0.500 0.786
Pd 0.500 0.000 0.500
Pd 0.714 0.500 0.214
```

Computed properties:
* E_form: -9.57 eV/f.u.
* crystal system: orthorhombic
* ΔE to the lowest computed polymorph: 0.003 eV/atom

=====

A relaxed structure of Pr2YBr2N2. Source: Alexandria, functional GGA-PBE. Values from VASP.

```
&SYSTEM
  ibrav = 0, nat = 7, ntyp = 4
/
ATOMIC_SPECIES
Pr 140.91 Pr.upf
Y 88.91 Y.upf
Br 79.90 Br.upf
N 14.01 N.upf
CELL_PARAMETERS angstrom
-2.253 2.253 8.367
2.253 -2.253 8.367
2.253 2.253 -8.367
ATOMIC_POSITIONS crystal
Pr 0.090 0.090 0.000
Pr 0.910 0.910 0.000
Y 0.500 0.500 0.000
Br 0.323 0.323 0.000
Br 0.677 0.677 0.000
N 0.000 0.500 0.500
N 0.500 0.000 0.500
```

Computed properties:
* ΔE_f (raw): -1.3670 eV/atom
* crystal system: tetragonal

=====

Q: What is the formula in the second record?
A: Pr2YBr2N2

=====

What did the second record say?
A relaxed structure of Pr2YBr2N2. Source: Alexandria, functional GGA-PBE. Values from VASP.

```
&SYSTEM
  ibrav = 0, nat = 7, ntyp = 4
/
ATOMIC_SPECIES
Pr 140.91 Pr.upf
Y 88.91 Y.upf
Br 79.90 Br.upf
N 14.01 N.upf
CELL_PARAMETERS angstrom
-2.253 2.253 8.367
2.253 -2.253 8.367
2.253 2.253 -8.367
ATOMIC_POSITIONS crystal
Pr 0.090 0.090 0.000
Pr 0.910 0.910 0.000
Y 0.500 0.500 0.000
Br 0.323 0.323 0.000
Br 0.677 0.677 0.000
N 0.000 0.500 0.500
N 0.500 0.000 0.500
```

Computed properties:
* ΔE_f (raw): -1.3670 eV/atom
* crystal system: tetragonal